1.
LiPSO2, optimized geometry, DFT PBE; calculated volume = 75.3 Å³ per cell
1.0
3.508 0.000 0.000
0.000 3.508 0.000
0.000 0.000 6.119
Li P S O
1 1 1 2
Cartesian
0.000 0.000 0.000
0.000 0.000 3.059
1.754 1.754 3.059
0.000 1.754 0.000
1.754 0.000 0.000



2.
LiPS2O, optimized geometry, DFT PBE; E above lowest polymorph = 0.8245 eV per atom; calculated volume = 78.3 Å³ per cell
1.0
4.005 0.000 0.000
0.000 4.005 0.000
0.000 0.000 4.880
Li P S O
1 1 2 1
Cartesian
0.000 0.000 0.000
0.000 0.000 2.440
0.000 2.002 0.000
2.002 0.000 0.000
2.002 2.002 2.440



3.
LiPSO2, optimized geometry, DFT PBE; calculated volume = 61.3 Å³ per cell
1.0
3.584 0.000 0.000
0.000 3.584 0.000
0.000 0.000 4.775
Li P S O
1 1 1 2
Cartesian
0.000 0.000 0.000
1.792 1.792 0.000
1.792 1.792 2.387
0.000 1.792 2.387
1.792 0.000 2.387



4.
LiP2SO, optimized geometry, DFT PBE; E above lowest polymorph = 0.8366 eV per atom; calculated volume = 77.2 Å³ per cell
1.0
4.298 0.000 0.000
0.000 4.298 0.000
0.000 0.000 4.178
Li P S O
1 2 1 1
Cartesian
0.000 0.000 0.000
0.000 2.149 0.000
2.149 0.000 0.000
0.000 0.000 2.089
2.149 2.149 2.089



5.
LiSbP4O12, optimized geometry, DFT PBE; E above lowest polymorph = 0.0358 eV per atom; calculated volume = 640.9 Å³ per cell
1.0
9.162 -6.383 0.000
9.162 6.383 0.000
-1.529 0.000 5.480
Li Sb P O
2 2 8 24
Cartesian
1.091 0.000 2.409
15.705 0.000 3.071
4.581 3.191 0.000
4.581 -3.191 0.000
6.433 3.597 4.626
4.980 1.467 3.070
10.363 3.597 0.854
4.980 -1.467 3.070
11.816 1.467 2.410
6.433 -3.597 4.626
11.816 -1.467 2.410
10.363 -3.597 0.854
6.897 4.751 3.813
6.765 3.782 0.058
3.670 1.770 3.772
4.977 1.567 1.568
9.899 4.751 1.667
6.188 2.323 3.653
9.162 2.952 0.000
10.031 3.782 5.422
5.491 0.000 3.500
3.670 -1.770 3.772
4.977 -1.567 1.568
10.608 2.323 1.826
6.188 -2.323 3.653
11.819 1.567 3.912
13.126 1.770 1.708
11.305 0.000 1.980
6.765 -3.782 0.058
9.162 -2.952 0.000
10.608 -2.323 1.826
6.897 -4.751 3.813
11.819 -1.567 3.912
13.126 -1.770 1.708
10.031 -3.782 5.422
9.899 -4.751 1.667



6.
LiSbP2O7, optimized geometry, DFT PBE; calculated volume = 323.1 Å³ per cell
1.0
4.937 0.000 0.000
0.000 8.996 0.000
-2.052 0.000 7.274
Li Sb P O
2 2 4 14
Cartesian
0.682 0.000 1.113
2.203 4.498 6.161
0.529 3.137 1.621
2.356 7.635 5.653
-0.106 0.337 4.215
1.911 6.012 0.532
0.974 1.514 6.743
2.990 4.834 3.059
-0.439 4.692 2.786
0.215 0.775 2.811
1.049 4.712 0.301
1.079 7.271 0.411
0.600 8.004 4.632
1.804 1.470 0.383
0.474 1.489 5.198
2.411 5.987 2.076
1.081 5.968 6.891
2.284 3.506 2.642
1.805 2.773 6.863
1.835 0.214 6.973
2.670 5.273 4.463
3.324 0.194 4.488



7.
LiSbPO5, optimized geometry, DFT PBE; E above lowest polymorph = 0.0296 eV per atom; calculated volume = 207.9 Å³ per cell
1.0
3.665 -4.183 0.000
3.665 4.183 0.000
-3.226 0.000 6.783
Li Sb P O
2 2 2 10
Cartesian
2.052 2.537 3.391
3.665 -2.537 0.000
2.401 0.019 0.951
0.788 -0.019 4.343
-0.090 2.905 5.952
1.523 -2.905 2.560
-1.369 0.322 3.505
-1.070 1.980 6.748
0.243 -0.322 0.113
0.914 2.037 5.117
1.554 0.762 2.637
-0.058 -0.762 6.029
0.543 -1.980 3.356
4.376 0.390 1.576
2.526 -2.037 1.725
2.763 -0.390 4.967



8.
LiSb2P5O16, optimized geometry, DFT PBE; calculated volume = 783.6 Å³ per cell
1.0
7.281 0.000 0.000
0.000 11.057 0.000
-2.990 0.000 9.733
Li Sb P O
2 4 10 32
Cartesian
0.000 1.033 0.000
-1.495 10.024 4.866
2.795 3.915 2.235
1.300 7.142 7.101
4.937 1.643 5.958
6.432 9.415 1.091
0.087 3.811 6.228
1.582 7.246 1.361
-0.245 2.076 8.575
1.249 8.981 3.708
1.980 0.439 2.421
0.485 10.618 7.287
2.869 4.503 5.524
4.363 6.555 0.658
4.838 1.233 2.482
3.343 9.824 7.349
-0.911 2.991 5.395
0.584 8.067 0.528
-1.722 1.966 8.143
-0.227 9.091 3.276
-0.341 0.124 6.140
1.154 10.933 1.274
-0.326 5.147 6.722
1.169 5.910 1.855
1.669 1.798 2.961
0.174 9.259 7.828
0.582 2.854 7.440
2.077 8.204 2.573
1.379 3.847 5.312
2.874 7.211 0.446
2.985 2.677 0.175
1.490 8.380 5.042
0.421 0.624 8.529
1.916 10.433 3.662
3.531 0.341 2.004
2.036 10.716 6.871
3.304 4.811 4.093
1.809 6.246 8.960
4.233 5.291 1.503
2.738 5.766 6.369
4.418 2.703 2.686
2.923 8.354 7.553
3.691 3.422 6.220
5.186 7.636 1.354
5.846 1.010 1.390
4.352 10.047 6.257
5.222 0.651 3.867
3.727 10.407 8.734



9.
LiSbPO2, optimized geometry, DFT PBE; E above lowest polymorph = 0.5616 eV per atom; calculated volume = 66.1 Å³ per cell
1.0
3.822 0.000 0.000
0.000 3.822 0.000
0.000 0.000 4.522
Li Sb P O
1 1 1 2
Cartesian
0.000 0.000 0.000
1.911 1.911 2.261
0.000 0.000 2.261
0.000 1.911 0.000
1.911 0.000 0.000



10.
LiSbP4O12, optimized geometry, DFT PBE; E above lowest polymorph = 0.0112 eV per atom; calculated volume = 571.7 Å³ per cell
1.0
7.160 0.000 0.000
0.000 8.106 0.000
-0.826 0.000 9.851
Li Sb P O
2 2 8 24
Cartesian
0.809 0.000 4.045
5.525 4.053 5.806
0.948 5.845 8.492
5.386 1.792 1.359
-0.109 6.182 1.578
0.286 3.804 3.337
2.006 0.957 8.556
2.997 7.469 6.261
3.337 3.416 3.590
4.327 5.010 1.294
6.048 7.857 6.513
6.442 2.129 8.273
-0.334 4.512 4.481
0.115 6.181 0.081
-0.408 6.607 7.048
0.321 7.344 2.389
0.541 4.785 2.086
0.882 1.964 8.016
1.288 7.803 9.037
1.748 3.285 3.689
2.441 7.737 4.921
2.537 6.255 7.058
2.831 0.671 7.222
3.454 5.702 0.309
2.879 1.649 9.542
3.503 4.724 2.629
3.797 2.202 2.793
3.893 3.684 4.930
4.586 7.338 6.162
5.046 3.750 0.813
5.452 6.016 1.835
5.793 0.732 7.765
6.012 3.291 7.462
6.741 2.554 2.803
6.219 2.128 9.770
6.668 0.459 5.370



Quick rundown of ρ, same order as above: 2249; 2505; 2761; 2516; 2304; 3111; 3828; 2803; 4818; 2583 kg/m³
Quick rundown of ΔE_f (raw), same order as above: 444; 1140; 50; 1147; -2017; -2052; -1872; -1982; 85; -2042 meV/atom
Quick rundown of total DFT energy (no corrections), same order as above: -19.1; -14.8; -21.1; -16.1; -247.0; -148.3; -102.4; -328.2; -20.9; -247.9 eV per cell